(1)
Ti5ZnNi2: optimized geometry, PBE.

Cell and atoms, written as CIF:
```
data_Ti5ZnNi2
_chemical_formula_sum 'Ti5 Zn1 Ni2'
_symmetry_space_group_name_H-M 'P 1'
_symmetry_Int_Tables_number 1
_symmetry_space_group_name_Hall 'P 1'
_cell_length_a 2.9404
_cell_length_b 7.6038
_cell_length_c 7.6038
_cell_angle_alpha 48.68
_cell_angle_beta 78.85
_cell_angle_gamma 78.85
loop_
_atom_site_label
_atom_site_fract_x
_atom_site_fract_y
_atom_site_fract_z
Ti1 0.0000 0.5000 0.5000
Ti2 0.6339 0.6223 0.1098
Ti3 0.3661 0.3777 0.8902
Ti4 0.3661 0.8902 0.3777
Ti5 0.6339 0.1098 0.6223
Zn1 0.0000 0.0000 0.0000
Ni1 0.7816 0.7184 0.7184
Ni2 0.2184 0.2816 0.2816
```

size of the total moment: 0.000 μB per formula unit
energy of formation from the pure elements: -0.1112 eV per atom


(2)
Ti4ZnNi5: optimized geometry, PBE.

Cell and atoms, written as CIF:
```
data_Ti4ZnNi5
_chemical_formula_sum 'Ti4 Zn1 Ni5'
_symmetry_space_group_name_H-M 'P 1'
_symmetry_Int_Tables_number 1
_symmetry_space_group_name_Hall 'P 1'
_cell_length_a 3.0309
_cell_length_b 3.0309
_cell_length_c 14.5275
_cell_angle_alpha 90.00
_cell_angle_beta 90.00
_cell_angle_gamma 90.00
loop_
_atom_site_label
_atom_site_fract_x
_atom_site_fract_y
_atom_site_fract_z
Ti1 0.0000 0.0000 0.1932
Ti2 0.0000 0.0000 0.3984
Ti3 0.0000 0.0000 0.6016
Ti4 0.0000 0.0000 0.8068
Zn1 0.0000 0.0000 0.0000
Ni1 0.5000 0.5000 0.0968
Ni2 0.5000 0.5000 0.2923
Ni3 0.5000 0.5000 0.5000
Ni4 0.5000 0.5000 0.7077
Ni5 0.5000 0.5000 0.9032
```

size of the total moment: 0.000 μB per formula unit
energy of formation from the pure elements: -0.3537 eV per atom


(3)
TiZn4Ni: optimized geometry, PBE.

Cell and atoms, written as CIF:
```
data_TiZn4Ni
_chemical_formula_sum 'Ti1 Zn4 Ni1'
_symmetry_space_group_name_H-M 'P 1'
_symmetry_Int_Tables_number 1
_symmetry_space_group_name_Hall 'P 1'
_cell_length_a 4.9563
_cell_length_b 4.9563
_cell_length_c 4.9563
_cell_angle_alpha 60.00
_cell_angle_beta 60.00
_cell_angle_gamma 60.00
loop_
_atom_site_label
_atom_site_fract_x
_atom_site_fract_y
_atom_site_fract_z
Ni1 0.0000 0.0000 0.0000
Zn1 0.6250 0.6250 0.1249
Zn2 0.6250 0.1249 0.6250
Zn3 0.6250 0.6250 0.6250
Zn4 0.1249 0.6250 0.6250
Ti1 0.2500 0.2500 0.2500
```

offset from the most stable computed form: 0.134 eV/atom
size of the total moment: 1.911 μB per formula unit
energy of formation from the pure elements: -0.0256 eV per atom


(4)
Ti7Zn2Ni2: optimized geometry, PBE.

Cell and atoms, written as CIF:
```
data_Ti7Zn2Ni2
_chemical_formula_sum 'Ti7 Zn2 Ni2'
_symmetry_space_group_name_H-M 'P 1'
_symmetry_Int_Tables_number 1
_symmetry_space_group_name_Hall 'P 1'
_cell_length_a 5.7290
_cell_length_b 6.0211
_cell_length_c 5.7290
_cell_angle_alpha 90.01
_cell_angle_beta 107.37
_cell_angle_gamma 89.99
loop_
_atom_site_label
_atom_site_fract_x
_atom_site_fract_y
_atom_site_fract_z
Ti1 0.9999 0.2654 0.4999
Ti2 0.4999 0.7346 0.9999
Ti3 0.0001 0.7346 0.5001
Ti4 0.5001 0.2654 0.0001
Ti5 0.0000 0.0000 0.0000
Ti6 0.5000 0.7412 0.5000
Ti7 0.5000 0.2588 0.5000
Zn1 0.8280 0.5000 0.8280
Zn2 0.1720 0.5000 0.1720
Ni1 0.7089 0.9999 0.2911
Ni2 0.2911 0.0001 0.7089
```

size of the total moment: 1.383 μB per formula unit
energy of formation from the pure elements: 0.1445 eV per atom


(5)
TiZn2Ni8: optimized geometry, PBE.

Cell and atoms, written as CIF:
```
data_TiZn2Ni8
_chemical_formula_sum 'Ti1 Zn2 Ni8'
_symmetry_space_group_name_H-M 'P 1'
_symmetry_Int_Tables_number 1
_symmetry_space_group_name_Hall 'P 1'
_cell_length_a 3.8634
_cell_length_b 6.0486
_cell_length_c 6.0486
_cell_angle_alpha 105.82
_cell_angle_beta 90.02
_cell_angle_gamma 90.02
loop_
_atom_site_label
_atom_site_fract_x
_atom_site_fract_y
_atom_site_fract_z
Ti1 0.5000 0.0000 0.0000
Zn1 0.0000 0.6248 0.3752
Zn2 0.0000 0.3752 0.6248
Ni1 0.9994 0.9634 0.6978
Ni2 0.9994 0.6978 0.9634
Ni3 0.4996 0.6686 0.6686
Ni4 0.5000 0.2442 0.7558
Ni5 0.5000 0.7558 0.2442
Ni6 0.5004 0.3314 0.3314
Ni7 0.0006 0.3022 0.0366
Ni8 0.0006 0.0366 0.3022
```

offset from the most stable computed form: 0.063 eV/atom
size of the total moment: 1.521 μB per formula unit
energy of formation from the pure elements: -0.0061 eV per atom


(6)
TiZn2Ni: optimized geometry, PBE.

Cell and atoms, written as CIF:
```
data_TiZn2Ni
_chemical_formula_sum 'Ti1 Zn2 Ni1'
_symmetry_space_group_name_H-M 'P 1'
_symmetry_Int_Tables_number 1
_symmetry_space_group_name_Hall 'P 1'
_cell_length_a 4.1480
_cell_length_b 3.6745
_cell_length_c 3.6745
_cell_angle_alpha 90.00
_cell_angle_beta 90.00
_cell_angle_gamma 90.00
loop_
_atom_site_label
_atom_site_fract_x
_atom_site_fract_y
_atom_site_fract_z
Ni1 0.5000 0.5000 0.5000
Zn1 0.0000 0.0000 0.5000
Zn2 0.0000 0.5000 0.0000
Ti1 0.5000 0.0000 0.0000
```

size of the total moment: 0.000 μB per formula unit
energy of formation from the pure elements: -0.1817 eV per atom


(7)
TiZn3Ni6: optimized geometry, PBE.

Cell and atoms, written as CIF:
```
data_TiZn3Ni6
_chemical_formula_sum 'Ti2 Zn6 Ni12'
_symmetry_space_group_name_H-M 'P 1'
_symmetry_Int_Tables_number 1
_symmetry_space_group_name_Hall 'P 1'
_cell_length_a 3.7429
_cell_length_b 7.7960
_cell_length_c 8.2868
_cell_angle_alpha 94.32
_cell_angle_beta 90.00
_cell_angle_gamma 90.00
loop_
_atom_site_label
_atom_site_fract_x
_atom_site_fract_y
_atom_site_fract_z
Ti1 0.2500 0.9405 0.6204
Ti2 0.7500 0.0595 0.3796
Zn1 0.2500 0.5515 0.3986
Zn2 0.7500 0.4485 0.6014
Zn3 0.2500 0.3460 0.8053
Zn4 0.7500 0.6540 0.1947
Zn5 0.2500 0.7514 0.9888
Zn6 0.7500 0.2486 0.0112
Ni1 0.2500 0.4510 0.1018
Ni2 0.7500 0.5490 0.8982
Ni3 0.2500 0.1516 0.2067
Ni4 0.7500 0.8484 0.7933
Ni5 0.2500 0.6426 0.6989
Ni6 0.7500 0.3574 0.3011
Ni7 0.2500 0.2476 0.5025
Ni8 0.7500 0.7524 0.4975
Ni9 0.2500 0.8527 0.2979
Ni10 0.7500 0.1473 0.7021
Ni11 0.2500 0.0509 0.9081
Ni12 0.7500 0.9491 0.0919
```

size of the total moment: 0.000 μB per formula unit
energy of formation from the pure elements: -0.2869 eV per atom


(8)
TiZn2Ni6: optimized geometry, PBE.

Cell and atoms, written as CIF:
```
data_TiZn2Ni6
_chemical_formula_sum 'Ti1 Zn2 Ni6'
_symmetry_space_group_name_H-M 'P 1'
_symmetry_Int_Tables_number 1
_symmetry_space_group_name_Hall 'P 1'
_cell_length_a 5.5363
_cell_length_b 4.9088
_cell_length_c 4.9088
_cell_angle_alpha 120.00
_cell_angle_beta 90.00
_cell_angle_gamma 90.00
loop_
_atom_site_label
_atom_site_fract_x
_atom_site_fract_y
_atom_site_fract_z
Ti1 0.5000 0.0000 0.0000
Zn1 0.3566 0.6667 0.3333
Zn2 0.6434 0.3333 0.6667
Ni1 0.8276 0.8257 0.6515
Ni2 0.8276 0.8257 0.1743
Ni3 0.1724 0.6515 0.8257
Ni4 0.8276 0.3485 0.1743
Ni5 0.1724 0.1743 0.8257
Ni6 0.1724 0.1743 0.3485
```

size of the total moment: 0.000 μB per formula unit
energy of formation from the pure elements: -0.0406 eV per atom


Question: What is the formula in the second record?
Answer: Ti4ZnNi5